Entry 1:
This record from Alexandria via LeMat-Bulk describes a relaxed structure of TbThPb6. The functional is PBE.

Calculated values
The formation energy is -2.1 eV/f.u. Its spin magnetization is 0.00 Bohr magnetons per cell. The final energy comes out at -36.36 eV per cell.

Cell and atoms, written as CIF:
```
data_TbThPb6
_cell_length_a 4.9009
_cell_length_b 4.9009
_cell_length_c 9.7689
_cell_angle_alpha 90.00
_cell_angle_beta 90.00
_cell_angle_gamma 90.00
_space_group_name_H-M_alt 'P 4/m m m'
_space_group_IT_number 123
_space_group_name_Hall '-P 4 2'
loop_
_atom_site_label
_atom_site_fract_x
_atom_site_fract_y
_atom_site_fract_z
Tb1 0.0000 0.0000 0.0000
Th1 0.0000 0.0000 0.5000
Pb1 0.0000 0.5000 0.2468
Pb2 0.5000 0.5000 0.0000
Pb3 0.5000 0.5000 0.5000
```

Entry 2:
This record from Alexandria via LeMat-Bulk describes a relaxed structure of PmGe4Ru2. The functional is PBE.

Calculated values
The formation energy is -2.1 eV/f.u. Its spin magnetization is 0.00 Bohr magnetons per cell. The final energy comes out at -175.37 eV per cell. The distance to the lowest polymorph of the same formula comes out at 170 meV/atom.

Cell and atoms, written as CIF:
```
data_PmGe4Ru2
_cell_length_a 7.7754
_cell_length_b 7.7754
_cell_length_c 8.1606
_cell_angle_alpha 90.00
_cell_angle_beta 90.00
_cell_angle_gamma 90.00
_space_group_name_H-M_alt 'I -4 2 d'
_space_group_IT_number 122
_space_group_name_Hall 'I -4 2bw'
loop_
_atom_site_label
_atom_site_fract_x
_atom_site_fract_y
_atom_site_fract_z
Pm1 0.0000 0.0000 0.0000
Ge1 0.0864 0.6427 0.9090
Ru1 0.1730 0.7500 0.6250
```

Q: Which value of spin magnetization does entry 1 give?
A: 0.00 Bohr magnetons per cell